1.
## AcPr4HoEr2 (PBE)

Data for a relaxed structure of AcPr4HoEr2.

The structure in CIF format:
```
data_AcPr4HoEr2
_chemical_formula_sum 'Ac2 Pr8 Ho2 Er4'
_space_group_name_H-M_alt 'C 1 2/m 1'
_space_group_IT_number 12
_cell_length_a 11.583
_cell_length_b 5.207
_cell_length_c 10.437
_cell_angle_alpha 90.00
_cell_angle_beta 116.81
_cell_angle_gamma 90.00
loop_
_space_group_symop_operation_xyz
'x,y,z'
'-x,-y,-z'
'-x,y,-z'
'x,-y,z'
'x+1/2,y+1/2,z'
'-x+1/2,-y+1/2,-z'
'-x+1/2,y+1/2,-z'
'x+1/2,-y+1/2,z'
loop_
_atom_site_label
_atom_site_fract_x
_atom_site_fract_y
_atom_site_fract_z
Ac1 0.000 0.000 0.000
Pr1 0.247 0.000 0.869
Pr2 0.249 0.500 0.621
Ho1 0.000 0.000 0.500
Er1 0.001 0.500 0.743
```

Computed properties:
Formation energy: 35 meV per atom
VASP energy: -73.30 eV per cell
Density: 7.63 g/cm³

---

2.
## AcPr2HoEr5 (PBE)

Data for a relaxed structure of AcPr2HoEr5.

The structure in CIF format:
```
data_AcPr2HoEr5
_chemical_formula_sum 'Ac4 Pr8 Ho4 Er20'
_space_group_name_H-M_alt 'I 4/m c m'
_space_group_IT_number 140
_space_group_name_Hall '-I 4 2c'
_cell_length_a 8.818
_cell_length_b 8.818
_cell_length_c 15.601
_cell_angle_alpha 90.00
_cell_angle_beta 90.00
_cell_angle_gamma 90.00
loop_
_atom_site_label
_atom_site_fract_x
_atom_site_fract_y
_atom_site_fract_z
Ac1 0.000 0.000 0.250
Pr1 0.117 0.383 0.000
Ho1 0.000 0.500 0.250
Er1 0.000 0.000 0.000
Er2 0.208 0.292 0.366
```

Computed properties:
Formation energy: 261 meV per atom
VASP energy: -154.84 eV per cell
Density: 8.27 g/cm³

---

3.
## AcPr2Ho2Er2 (PBE)

Data for a relaxed structure of AcPr2Ho2Er2.

The structure in CIF format:
```
data_AcPr2Ho2Er2
_chemical_formula_sum 'Ac2 Pr4 Ho4 Er4'
_space_group_name_H-M_alt 'C 1 2/m 1'
_space_group_IT_number 12
_cell_length_a 11.554
_cell_length_b 5.148
_cell_length_c 8.139
_cell_angle_alpha 90.00
_cell_angle_beta 98.50
_cell_angle_gamma 90.00
loop_
_space_group_symop_operation_xyz
'x,y,z'
'-x,-y,-z'
'-x,y,-z'
'x,-y,z'
'x+1/2,y+1/2,z'
'-x+1/2,-y+1/2,-z'
'-x+1/2,y+1/2,-z'
'x+1/2,-y+1/2,z'
loop_
_atom_site_label
_atom_site_fract_x
_atom_site_fract_y
_atom_site_fract_z
Ac1 0.000 0.000 0.000
Pr1 0.215 0.500 0.153
Ho1 0.074 0.500 0.704
Er1 0.142 0.000 0.433
```

Computed properties:
Formation energy: 45 meV per atom
VASP energy: -63.27 eV per cell
Density: 8.14 g/cm³

---

4.
## AcPr5HoEr2 (PBE)

Data for a relaxed structure of AcPr5HoEr2.

The structure in CIF format:
```
data_AcPr5HoEr2
_chemical_formula_sum 'Ac4 Pr20 Ho4 Er8'
_space_group_name_H-M_alt 'C m c 21'
_space_group_IT_number 36
_cell_length_a 5.583
_cell_length_b 24.584
_cell_length_c 9.556
_cell_angle_alpha 90.00
_cell_angle_beta 90.00
_cell_angle_gamma 90.00
loop_
_space_group_symop_operation_xyz
'x,y,z'
'-x,-y,z+1/2'
'-x,y,z'
'x,-y,z+1/2'
'x+1/2,y+1/2,z'
'-x+1/2,-y+1/2,z+1/2'
'-x+1/2,y+1/2,z'
'x+1/2,-y+1/2,z+1/2'
loop_
_atom_site_label
_atom_site_fract_x
_atom_site_fract_y
_atom_site_fract_z
Ac1 0.000 0.102 0.000
Pr1 0.000 0.025 0.330
Pr2 0.000 0.107 0.607
Pr3 0.000 0.189 0.296
Pr4 0.000 0.241 0.932
Pr5 0.000 0.490 0.115
Ho1 0.000 0.264 0.607
Er1 0.000 0.325 0.248
Er2 0.000 0.388 0.861
```

Computed properties:
Formation energy: 144 meV per atom
VASP energy: -161.65 eV per cell
Density: 7.25 g/cm³

---

5.
## Ac2Pr5HoEr (PBE)

Data for a relaxed structure of Ac2Pr5HoEr.

The structure in CIF format:
```
data_Ac2Pr5HoEr
_chemical_formula_sum 'Ac8 Pr20 Ho4 Er4'
_space_group_name_H-M_alt 'C m c m'
_space_group_IT_number 63
_space_group_name_Hall '-C 2c 2'
_cell_length_a 5.646
_cell_length_b 22.725
_cell_length_c 10.506
_cell_angle_alpha 90.00
_cell_angle_beta 90.00
_cell_angle_gamma 90.00
loop_
_atom_site_label
_atom_site_fract_x
_atom_site_fract_y
_atom_site_fract_z
Ac1 0.000 0.116 0.012
Pr1 0.000 0.004 0.750
Pr2 0.000 0.278 0.061
Pr3 0.000 0.378 0.750
Pr4 0.000 0.500 0.000
Ho1 0.000 0.217 0.750
Er1 0.000 0.397 0.250
```

Computed properties:
Formation energy: 111 meV per atom
VASP energy: -161.02 eV per cell
Density: 7.35 g/cm³

---

6.
## AcPr6Ho2Er (PBE)

Data for a relaxed structure of AcPr6Ho2Er.

The structure in CIF format:
```
data_AcPr6Ho2Er
_chemical_formula_sum 'Ac4 Pr24 Ho8 Er4'
_space_group_name_H-M_alt 'C 1 2/c 1'
_space_group_IT_number 15
_cell_length_a 9.477
_cell_length_b 15.547
_cell_length_c 9.786
_cell_angle_alpha 90.00
_cell_angle_beta 95.88
_cell_angle_gamma 90.00
loop_
_space_group_symop_operation_xyz
'x,y,z'
'-x,-y,-z'
'-x,y,-z+1/2'
'x,-y,z+1/2'
'x+1/2,y+1/2,z'
'-x+1/2,-y+1/2,-z'
'-x+1/2,y+1/2,-z+1/2'
'x+1/2,-y+1/2,z+1/2'
loop_
_atom_site_label
_atom_site_fract_x
_atom_site_fract_y
_atom_site_fract_z
Ac1 0.000 0.028 0.250
Pr1 0.060 0.182 0.946
Pr2 0.099 0.390 0.117
Pr3 0.221 0.225 0.314
Ho1 0.240 0.447 0.452
Er1 0.000 0.414 0.750
```

Computed properties:
Formation energy: 118 meV per atom
VASP energy: -181.30 eV per cell
Density: 7.27 g/cm³

---

7.
## AcHoEr2S4 (PBE)

Data for a relaxed structure of AcHoEr2S4.

The structure in CIF format:
```
data_AcHoEr2S4
_chemical_formula_sum 'Ac1 Ho1 Er2 S4'
_space_group_name_H-M_alt 'P 1 2/m 1'
_space_group_IT_number 10
_cell_length_a 6.894
_cell_length_b 3.922
_cell_length_c 7.007
_cell_angle_alpha 90.00
_cell_angle_beta 108.66
_cell_angle_gamma 90.00
loop_
_space_group_symop_operation_xyz
'x,y,z'
'-x,-y,-z'
'-x,y,-z'
'x,-y,z'
loop_
_atom_site_label
_atom_site_fract_x
_atom_site_fract_y
_atom_site_fract_z
Ac1 0.000 0.000 0.000
Ho1 0.500 0.500 0.000
Er1 0.000 0.500 0.500
Er2 0.500 0.000 0.500
S1 0.259 0.000 0.737
S2 0.271 0.500 0.274
```

Computed properties:
VASP energy: -49.73 eV per cell
E_form (uncorrected): -1.925 eV/atom
Density: 7.91 g/cm³

---

8.
## Ac2HoErSb4 (PBE)

Data for a relaxed structure of Ac2HoErSb4.

The structure in CIF format:
```
data_Ac2HoErSb4
_chemical_formula_sum 'Ac2 Ho1 Er1 Sb4'
_space_group_name_H-M_alt 'P 1 2/m 1'
_space_group_IT_number 10
_cell_length_a 7.922
_cell_length_b 4.586
_cell_length_c 7.939
_cell_angle_alpha 90.00
_cell_angle_beta 109.51
_cell_angle_gamma 90.00
loop_
_space_group_symop_operation_xyz
'x,y,z'
'-x,-y,-z'
'-x,y,-z'
'x,-y,z'
loop_
_atom_site_label
_atom_site_fract_x
_atom_site_fract_y
_atom_site_fract_z
Ac1 0.000 0.000 0.000
Ac2 0.000 0.500 0.500
Ho1 0.500 0.000 0.500
Er1 0.500 0.500 0.000
Sb1 0.275 0.000 0.759
Sb2 0.275 0.500 0.258
```

Computed properties:
VASP energy: -42.94 eV per cell
E_form (uncorrected): -1.137 eV/atom
Density: 7.78 g/cm³

---

- density of number 6 (AcPr6Ho2Er)?
  7.27 g/cm³

---

- The highest VASP energy belongs to which entry?
  Ac2HoErSb4

---

- density of number 8 (Ac2HoErSb4)?
  7.78 g/cm³